Entry 1:
VASP calculation (GGA-PBE) on crystalline Pm12Dy5Tl2 at its relaxed geometry.

The value obtained for the uncorrected energy is -4.446 eV/atom. The value obtained for the volume is 625.2 Å³ per cell. The value obtained for the density of states at the Fermi level is 26.94 states/eV/f.u. Its total magnetic moment is 0.0 μB/f.u.

```
19
Lattice="7.7588 -4.7042 0.0000 7.7588 4.7042 0.0000 -0.4492 0.0000 8.5642" Properties=species:S:1:pos:R:3 pbc="T T T"
Pm 0.7275 0.0000 2.7275
Pm 5.6902 2.8738 2.9482
Pm 5.0771 1.7391 6.5543
Pm 9.3781 2.8738 5.6159
Pm 6.4112 0.0000 0.9881
Pm 9.9912 1.7391 2.0099
Pm 5.0771 -1.7391 6.5543
Pm 8.6571 0.0000 7.5760
Pm 5.6902 -2.8738 2.9482
Pm 9.9912 -1.7391 2.0099
Pm 9.3781 -2.8738 5.6159
Pm 14.3408 0.0000 5.8367
Dy 2.8724 0.0000 0.0381
Dy 3.9626 0.0000 3.5497
Dy 7.5342 0.0000 4.2821
Dy 11.1057 0.0000 5.0145
Dy 12.1960 0.0000 8.5261
Tl 7.7588 2.9755 0.0000
Tl 7.7588 -2.9755 0.0000
```

Entry 2:
VASP calculation (GGA-PBE) on crystalline Pm4Dy15Tl at its relaxed geometry.

The value obtained for the uncorrected energy is -4.535 eV/atom. The value obtained for the volume is 629.5 Å³ per cell. The value obtained for the density of states at the Fermi level is 24.07 states/eV/f.u. Its total magnetic moment is 0.0 μB/f.u.

```
20
Lattice="4.9888 0.0000 0.0000 0.0000 4.9888 0.0000 0.0000 0.0000 25.2915" Properties=species:S:1:pos:R:3 pbc="T T T"
Pm 0.0000 0.0000 2.5519
Pm 0.0000 0.0000 7.6398
Pm 0.0000 0.0000 17.6516
Pm 0.0000 0.0000 22.7396
Dy 0.0000 2.4944 0.0000
Dy 0.0000 2.4944 5.1022
Dy 0.0000 2.4944 10.2050
Dy 0.0000 2.4944 15.0864
Dy 0.0000 2.4944 20.1893
Dy 2.4944 0.0000 0.0000
Dy 2.4944 0.0000 5.1022
Dy 2.4944 0.0000 10.2050
Dy 2.4944 0.0000 15.0864
Dy 2.4944 0.0000 20.1893
Dy 2.4944 2.4944 2.5680
Dy 2.4944 2.4944 7.7132
Dy 2.4944 2.4944 12.6457
Dy 2.4944 2.4944 17.5783
Dy 2.4944 2.4944 22.7234
Tl 0.0000 0.0000 12.6457
```

Entry 3:
VASP calculation (GGA-PBE) on crystalline Pm6DyTl2 at its relaxed geometry.

The value obtained for the uncorrected energy is -4.355 eV/atom. The value obtained for the volume is 288.9 Å³ per cell. The value obtained for the density of states at the Fermi level is 11.27 states/eV/f.u. Its total magnetic moment is 0.0 μB/f.u.

```
9
Lattice="6.5611 -1.9104 0.0000 6.5611 1.9104 0.0000 -3.7603 0.0000 11.5261" Properties=species:S:1:pos:R:3 pbc="T T T"
Pm -1.0955 0.0000 3.9576
Pm 2.4822 0.0000 4.7277
Pm 3.6820 0.0000 1.4270
Pm 5.6799 0.0000 10.0990
Pm 6.8796 0.0000 6.7983
Pm 10.4574 0.0000 7.5685
Dy 0.0000 0.0000 0.0000
Tl 1.7536 0.0000 9.2374
Tl 7.6083 0.0000 2.2886
```

Entry 4:
VASP calculation (GGA-PBE) on crystalline Pm2DyTl at its relaxed geometry.

The calculation puts the polymorph energy (0 for the lowest one) at 0 meV/atom. The value obtained for the volume is 119.5 Å³ per cell. The value obtained for the density of states at the Fermi level is 6.52 states/eV/f.u. Its total magnetic moment is 0.0 μB/f.u.

```
4
Lattice="4.8942 0.0000 0.0000 0.0000 4.8942 0.0000 0.0000 0.0000 4.9906" Properties=species:S:1:pos:R:3 pbc="T T T"
Pm 0.0000 2.4471 0.0000
Pm 2.4471 0.0000 0.0000
Dy 0.0000 0.0000 2.4953
Tl 2.4471 2.4471 2.4953
```

Entry 5:
VASP calculation (GGA-PBE) on crystalline Pm8Dy2Tl at its relaxed geometry.

The calculation puts the polymorph energy (0 for the lowest one) at 65 meV/atom. The value obtained for the volume is 374.2 Å³ per cell. The value obtained for the density of states at the Fermi level is 18.17 states/eV/f.u. Its total magnetic moment is 0.0 μB/f.u.

```
11
Lattice="-2.7852 3.8362 8.7550 2.7852 -3.8362 8.7550 2.7852 3.8362 -8.7550" Properties=species:S:1:pos:R:3 pbc="T T T"
Pm 2.7852 2.0891 -2.4047
Pm 0.0000 0.0000 3.1495
Pm 0.0000 2.0029 0.0000
Pm 2.7852 2.0891 2.4047
Pm 0.0000 1.7471 6.3503
Pm 0.0000 5.6695 0.0000
Pm 0.0000 0.0000 14.3606
Pm 0.0000 1.7471 11.1597
Dy 2.7852 0.0000 5.3854
Dy 0.0000 3.8362 3.3696
Tl 2.7852 0.0000 0.0000
```

Entry 6:
VASP calculation (GGA-PBE) on crystalline Pm12Dy3Tl at its relaxed geometry.

The value obtained for the uncorrected energy is -4.605 eV/atom. The value obtained for the volume is 526.9 Å³ per cell. The value obtained for the density of states at the Fermi level is 22.61 states/eV/f.u. Its total magnetic moment is 0.0 μB/f.u.

```
16
Lattice="5.0620 0.0000 0.0000 0.0000 5.0620 0.0000 0.0000 0.0000 20.5633" Properties=species:S:1:pos:R:3 pbc="T T T"
Pm 0.0000 0.0000 0.0000
Pm 0.0000 0.0000 5.0678
Pm 0.0000 0.0000 10.2816
Pm 0.0000 0.0000 15.4955
Pm 0.0000 2.5310 2.5010
Pm 0.0000 2.5310 7.6856
Pm 0.0000 2.5310 12.8777
Pm 0.0000 2.5310 18.0623
Pm 2.5310 0.0000 2.5010
Pm 2.5310 0.0000 7.6856
Pm 2.5310 0.0000 12.8777
Pm 2.5310 0.0000 18.0623
Dy 2.5310 2.5310 5.1070
Dy 2.5310 2.5310 10.2816
Dy 2.5310 2.5310 15.4563
Tl 2.5310 2.5310 0.0000
```

Entry 7:
VASP calculation (GGA-PBE) on crystalline Pm2DyTl at its relaxed geometry.

The calculation puts the polymorph energy (0 for the lowest one) at 16 meV/atom. The value obtained for the volume is 119.1 Å³ per cell. The value obtained for the density of states at the Fermi level is 5.18 states/eV/f.u. Its total magnetic moment is 0.0 μB/f.u.

```
4
Lattice="-2.4068 2.4151 5.1237 2.4068 -2.4151 5.1237 2.4068 2.4151 -5.1237" Properties=species:S:1:pos:R:3 pbc="T T T"
Pm 0.0000 0.0000 2.5440
Pm 0.0000 0.0000 7.7035
Dy 0.0000 2.4151 0.0000
Tl 2.4068 0.0000 0.0000
```

Entry 8:
VASP calculation (GGA-PBE) on crystalline Pm2DyTl at its relaxed geometry.

The calculation puts the polymorph energy (0 for the lowest one) at 42 meV/atom. The value obtained for the volume is 126.0 Å³ per cell. The value obtained for the density of states at the Fermi level is 5.39 states/eV/f.u. Its total magnetic moment is 0.0 μB/f.u.

```
4
Lattice="3.6558 0.0000 0.0000 0.0000 3.6558 0.0000 0.0000 0.0000 9.4251" Properties=species:S:1:pos:R:3 pbc="T T T"
Pm 0.0000 0.0000 2.1746
Pm 0.0000 0.0000 7.2505
Dy 1.8279 1.8279 4.7125
Tl 1.8279 1.8279 0.0000
```